Computed, not measured: a relaxed RbAlS2 crystal at the GGA-PBE level of DFT.

Structure (CIF):
```
data_RbAlS2
_cell_length_a 14.616
_cell_length_b 3.741
_cell_length_c 9.225
_cell_angle_alpha 90.00
_cell_angle_beta 119.52
_cell_angle_gamma 90.00
_space_group_name_H-M_alt 'C 1 2/m 1'
_space_group_IT_number 12
_space_group_name_Hall '-C 2y'
loop_
_atom_site_label
_atom_site_fract_x
_atom_site_fract_y
_atom_site_fract_z
Rb1 0.174 0.000 0.203
Al1 0.039 0.000 0.678
S1 0.071 0.500 0.844
S2 0.128 0.000 0.537
```

Output
Formation energy without anion corrections = -1.240 eV per atom


Computed, not measured: a relaxed CeHoMgAu crystal at the GGA-PBE level of DFT.

Structure (CIF):
```
data_CeHoMgAu
_cell_length_a 7.424
_cell_length_b 7.424
_cell_length_c 7.424
_cell_angle_alpha 90.00
_cell_angle_beta 90.00
_cell_angle_gamma 90.00
_space_group_name_H-M_alt 'F -4 3 m'
_space_group_IT_number 216
_space_group_name_Hall 'F -4 2 3'
loop_
_atom_site_label
_atom_site_fract_x
_atom_site_fract_y
_atom_site_fract_z
Ce1 0.000 0.000 0.000
Ho1 0.000 0.000 0.500
Mg1 0.250 0.250 0.250
Au1 0.250 0.250 0.750
```

Output
Energy relative to the elements = -284 meV/atom


Computed, not measured: a relaxed AcZn4Ag2 crystal at the GGA-PBE level of DFT.

Structure (CIF):
```
data_AcZn4Ag2
_cell_length_a 7.008
_cell_length_b 7.008
_cell_length_c 5.546
_cell_angle_alpha 90.00
_cell_angle_beta 90.00
_cell_angle_gamma 90.00
_space_group_name_H-M_alt 'I 4/m m m'
_space_group_IT_number 139
_space_group_name_Hall '-I 4 2'
loop_
_atom_site_label
_atom_site_fract_x
_atom_site_fract_y
_atom_site_fract_z
Ac1 0.000 0.000 0.000
Zn1 0.186 0.186 0.500
Ag1 0.000 0.500 0.250
```

Output
Energy relative to the elements = -194 meV/atom
ΔE to the lowest computed polymorph = 0.0 meV per atom


Computed, not measured: a relaxed CuRh crystal at the GGA-PBE level of DFT.

Structure (CIF):
```
data_CuRh
_cell_length_a 4.863
_cell_length_b 4.863
_cell_length_c 4.974
_cell_angle_alpha 90.00
_cell_angle_beta 90.00
_cell_angle_gamma 90.00
_space_group_name_H-M_alt 'P 42/m n m'
_space_group_IT_number 136
_space_group_name_Hall '-P 4n 2n'
loop_
_atom_site_label
_atom_site_fract_x
_atom_site_fract_y
_atom_site_fract_z
Cu1 0.186 0.186 0.000
Rh1 0.188 0.188 0.500
```

Output
Energy relative to the elements = 589 meV/atom


Computed, not measured: a relaxed OsRu2Pb crystal at the GGA-PBE level of DFT.

Structure (CIF):
```
data_OsRu2Pb
_cell_length_a 2.928
_cell_length_b 2.928
_cell_length_c 7.657
_cell_angle_alpha 90.00
_cell_angle_beta 90.00
_cell_angle_gamma 90.00
_space_group_name_H-M_alt 'P 4 m m'
_space_group_IT_number 99
_space_group_name_Hall 'P 4 -2'
loop_
_atom_site_label
_atom_site_fract_x
_atom_site_fract_y
_atom_site_fract_z
Os1 0.000 0.000 0.000
Ru1 0.000 0.000 0.552
Ru2 0.500 0.500 0.781
Pb1 0.500 0.500 0.283
```

Output
Energy relative to the elements = 642 meV/atom


Computed, not measured: a relaxed Hf2ZnPN crystal at the GGA-PBE level of DFT.

Structure (CIF):
```
data_Hf2ZnPN
_cell_length_a 4.427
_cell_length_b 4.427
_cell_length_c 3.947
_cell_angle_alpha 90.00
_cell_angle_beta 90.00
_cell_angle_gamma 90.00
_space_group_name_H-M_alt 'P 4/m m m'
_space_group_IT_number 123
_space_group_name_Hall '-P 4 2'
loop_
_atom_site_label
_atom_site_fract_x
_atom_site_fract_y
_atom_site_fract_z
Hf1 0.000 0.500 0.000
Zn1 0.000 0.000 0.500
P1 0.500 0.500 0.500
N1 0.500 0.500 0.000
```

Output
Formation energy without anion corrections = -0.282 eV per atom


Computed, not measured: a relaxed Ba5Ta3 crystal at the GGA-PBE level of DFT.

Structure (CIF):
```
data_Ba5Ta3
_cell_length_a 11.0640
_cell_length_b 11.0640
_cell_length_c 5.7872
_cell_angle_alpha 90.00
_cell_angle_beta 90.00
_cell_angle_gamma 120.00
_space_group_name_H-M_alt 'P 63/m c m'
_space_group_IT_number 193
_space_group_name_Hall '-P 6c 2'
loop_
_atom_site_label
_atom_site_fract_x
_atom_site_fract_y
_atom_site_fract_z
Ba1 0.0000 0.2535 0.2500
Ba2 0.3333 0.6667 0.0000
Ta1 0.0000 0.4589 0.7500
```

Output
Energy relative to the elements = 1241 meV/atom
ΔE to the lowest computed polymorph = 391.2 meV per atom


Computed, not measured: a relaxed KNaIr2 crystal at the GGA-PBE level of DFT.

Structure (CIF):
```
data_KNaIr2
_cell_length_a 4.352
_cell_length_b 4.352
_cell_length_c 21.152
_cell_angle_alpha 90.00
_cell_angle_beta 90.00
_cell_angle_gamma 90.00
_space_group_name_H-M_alt 'I -4 2 d'
_space_group_IT_number 122
_space_group_name_Hall 'I -4 2bw'
loop_
_atom_site_label
_atom_site_fract_x
_atom_site_fract_y
_atom_site_fract_z
K1 0.000 0.000 0.000
Na1 0.000 0.000 0.500
Ir1 0.113 0.250 0.625
```

Output
Energy relative to the elements = 757 meV/atom
ΔE to the lowest computed polymorph = 0.0 meV per atom